# TbNd4Sm2Mg

Crystalline TbNd4Sm2Mg at its relaxed geometry (PBE, Alexandria).

a = 5.0850 Å, b = 5.0850 Å, c = 10.1756 Å
α = 90.00°, β = 90.00°, γ = 90.00°
Last column: nearest neighbours and their distance in Å.
Element x y z (fractional)
Tb 0.0000 0.0000 0.0000  4 Sm 3.60, 8 Nd 3.62
Nd 0.0000 0.5000 0.2534  2 Mg 3.57, 4 Sm 3.57-3.62, 4 Nd 3.60, 2 Tb 3.62
Nd 0.0000 0.5000 0.7466  4 Sm 3.57-3.62, 2 Mg 3.57, 4 Nd 3.60, 2 Tb 3.62
Nd 0.5000 0.0000 0.2534  2 Mg 3.57, 4 Sm 3.57-3.62, 4 Nd 3.60, 2 Tb 3.62
Nd 0.5000 0.0000 0.7466  4 Sm 3.57-3.62, 2 Mg 3.57, 4 Nd 3.60, 2 Tb 3.62
Sm 0.0000 0.0000 0.5000  8 Nd 3.57, 4 Mg 3.60
Sm 0.5000 0.5000 0.0000  4 Tb 3.60, 8 Nd 3.62
Mg 0.5000 0.5000 0.5000  8 Nd 3.57, 4 Sm 3.60

Computed properties:
- M_tot (μB/f.u.) = 0.00
- density of states at the Fermi level (states/eV per atom) = 1.3236
- total DFT energy (no corrections) (eV per atom) = -4.34
- ΔE_f (kJ/mol of atoms) = 0.6


# TbNd2Sm4Mg

Crystalline TbNd2Sm4Mg at its relaxed geometry (PBE, Alexandria).

a = 5.0366 Å, b = 5.0511 Å, c = 10.2467 Å
α = 90.00°, β = 90.00°, γ = 90.00°
Last column: nearest neighbours and their distance in Å.
Element x y z (fractional)
Tb 0.0000 0.0000 0.0000  4 Nd 3.57, 8 Sm 3.61
Nd 0.0000 0.0000 0.5000  4 Mg 3.57, 8 Sm 3.58
Nd 0.5000 0.5000 0.0000  4 Tb 3.57, 8 Sm 3.61
Sm 0.0000 0.5000 0.2522  4 Sm 3.57, 2 Mg 3.58, 4 Nd 3.58-3.61, 2 Tb 3.61
Sm 0.0000 0.5000 0.7478  4 Sm 3.57, 2 Mg 3.58, 4 Nd 3.58-3.61, 2 Tb 3.61
Sm 0.5000 0.0000 0.2521  4 Sm 3.57, 4 Nd 3.58-3.61, 2 Mg 3.58, 2 Tb 3.61
Sm 0.5000 0.0000 0.7479  4 Sm 3.57, 4 Nd 3.58-3.61, 2 Mg 3.58, 2 Tb 3.61
Mg 0.5000 0.5000 0.5000  4 Nd 3.57, 8 Sm 3.58

Computed properties:
- M_tot (μB/f.u.) = 0.00
- density of states at the Fermi level (states/eV per atom) = 1.4273
- total DFT energy (no corrections) (eV per atom) = -4.31
- ΔE_f (kJ/mol of atoms) = 1.5


# TbNdSm2Mg

Crystalline TbNdSm2Mg at its relaxed geometry (PBE, Alexandria).

a = 6.2020 Å, b = 5.6760 Å, c = 9.5342 Å
α = 90.00°, β = 108.82°, γ = 90.00°
Last column: nearest neighbours and their distance in Å.
Element x y z (fractional)
Tb 0.1671 0.2500 0.4971  4 Mg 3.45-3.62, 5 Sm 3.49-3.69, 1 Nd 3.50, 2 Tb 3.52
Tb 0.8329 0.7500 0.5029  4 Mg 3.45-3.62, 5 Sm 3.49-3.69, 1 Nd 3.50, 2 Tb 3.52
Nd 0.0341 0.7500 0.8905  6 Sm 3.48-3.76, 1 Tb 3.50, 3 Mg 3.50-3.77, 2 Nd 3.63
Nd 0.9659 0.2500 0.1095  6 Sm 3.48-3.76, 1 Tb 3.50, 3 Mg 3.50-3.77, 2 Nd 3.63
Sm 0.3756 0.2500 0.8926  5 Sm 3.48-3.66, 4 Nd 3.54-3.76, 1 Tb 3.57, 2 Mg 3.58-3.61
Sm 0.4509 0.7500 0.7026  3 Sm 3.48-3.66, 2 Nd 3.48-3.59, 4 Tb 3.49-3.69, 3 Mg 3.49-3.56
Sm 0.5491 0.2500 0.2974  3 Sm 3.48-3.66, 2 Nd 3.48-3.59, 4 Tb 3.49-3.69, 3 Mg 3.49-3.56
Sm 0.6244 0.7500 0.1074  5 Sm 3.48-3.66, 4 Nd 3.54-3.76, 1 Tb 3.57, 2 Mg 3.58-3.61
Mg 0.2270 0.7500 0.3081  4 Tb 3.45-3.62, 5 Sm 3.49-3.61, 3 Nd 3.50-3.77
Mg 0.7730 0.2500 0.6919  4 Tb 3.45-3.62, 5 Sm 3.49-3.61, 3 Nd 3.50-3.77

Computed properties:
- M_tot (μB/f.u.) = 0.00
- density of states at the Fermi level (states/eV per atom) = 1.4202
- total DFT energy (no corrections) (eV per atom) = -4.07
- ΔE_f (kJ/mol of atoms) = 1.7